[1]
Entry from the Alexandria database: crystalline Pr8Ga2Ag at its relaxed geometry (PBE).

Output
crystal system = monoclinic

```
data_Pr8Ga2Ag
_cell_length_a 18.986
_cell_length_b 5.210
_cell_length_c 7.009
_cell_angle_alpha 90.00
_cell_angle_beta 100.81
_cell_angle_gamma 90.00
_space_group_name_H-M_alt 'C 1 2/m 1'
_space_group_IT_number 12
_space_group_name_Hall '-C 2y'
loop_
_atom_site_label
_atom_site_type_symbol
_atom_site_fract_x
_atom_site_fract_y
_atom_site_fract_z
_atom_site_occupancy
Pr1 Pr 0.029 0.000 0.258 1
Pr2 Pr 0.092 0.500 0.958 1
Pr3 Pr 0.160 0.500 0.465 1
Pr4 Pr 0.202 0.000 0.810 1
Ga1 Ga 0.194 0.000 0.249 1
Ag1 Ag 0.000 0.500 0.500 1
```

[2]
Entry from the Alexandria database: crystalline PrGa2Ag6 at its relaxed geometry (PBE).

Output
energy above the most stable polymorph in this dataset = 0.000 eV/atom
crystal system = tetragonal

```
data_PrGa2Ag6
_cell_length_a 4.310
_cell_length_b 4.310
_cell_length_c 9.513
_cell_angle_alpha 90.00
_cell_angle_beta 90.00
_cell_angle_gamma 90.00
_space_group_name_H-M_alt 'P 4/m m m'
_space_group_IT_number 123
_space_group_name_Hall '-P 4 2'
loop_
_atom_site_label
_atom_site_type_symbol
_atom_site_fract_x
_atom_site_fract_y
_atom_site_fract_z
_atom_site_occupancy
Pr1 Pr 0.000 0.000 0.000 1
Ga1 Ga 0.500 0.500 0.129 1
Ag1 Ag 0.000 0.000 0.500 1
Ag2 Ag 0.000 0.500 0.291 1
Ag3 Ag 0.500 0.500 0.500 1
```

[3]
Entry from the Alexandria database: crystalline PrGaAg at its relaxed geometry (PBE).

Output
crystal system = tetragonal

```
data_PrGaAg
_cell_length_a 3.456
_cell_length_b 3.456
_cell_length_c 11.438
_cell_angle_alpha 90.00
_cell_angle_beta 90.00
_cell_angle_gamma 90.00
_space_group_name_H-M_alt 'I 4 m m'
_space_group_IT_number 107
_space_group_name_Hall 'I 4 -2'
loop_
_atom_site_label
_atom_site_type_symbol
_atom_site_fract_x
_atom_site_fract_y
_atom_site_fract_z
_atom_site_occupancy
Pr1 Pr 0.000 0.000 0.000 1
Ga1 Ga 0.000 0.000 0.317 1
Ag1 Ag 0.000 0.000 0.695 1
```

[4]
Entry from the Alexandria database: crystalline Pr2Ga3Ag at its relaxed geometry (PBE).

Output
energy above the most stable polymorph in this dataset = 0.013 eV/atom
crystal system = orthorhombic

```
data_Pr2Ga3Ag
_cell_length_a 4.128
_cell_length_b 4.459
_cell_length_c 15.586
_cell_angle_alpha 90.00
_cell_angle_beta 90.00
_cell_angle_gamma 90.00
_space_group_name_H-M_alt 'I m m 2'
_space_group_IT_number 44
_space_group_name_Hall 'I 2 -2'
loop_
_atom_site_label
_atom_site_type_symbol
_atom_site_fract_x
_atom_site_fract_y
_atom_site_fract_z
_atom_site_occupancy
Pr1 Pr 0.000 0.000 0.000 1
Pr2 Pr 0.000 0.500 0.268 1
Ga1 Ga 0.000 0.000 0.427 1
Ga2 Ga 0.000 0.500 0.679 1
Ga3 Ga 0.000 0.500 0.841 1
Ag1 Ag 0.000 0.000 0.594 1
```

[5]
Entry from the Alexandria database: crystalline PrGa2Ag at its relaxed geometry (PBE).

Output
energy above the most stable polymorph in this dataset = 0.143 eV/atom
crystal system = tetragonal

```
data_PrGa2Ag
_cell_length_a 4.527
_cell_length_b 4.527
_cell_length_c 4.299
_cell_angle_alpha 90.00
_cell_angle_beta 90.00
_cell_angle_gamma 90.00
_space_group_name_H-M_alt 'P 4/m m m'
_space_group_IT_number 123
_space_group_name_Hall '-P 4 2'
loop_
_atom_site_label
_atom_site_type_symbol
_atom_site_fract_x
_atom_site_fract_y
_atom_site_fract_z
_atom_site_occupancy
Pr1 Pr 0.000 0.000 0.000 1
Ga1 Ga 0.000 0.500 0.500 1
Ag1 Ag 0.500 0.500 0.000 1
```

[6]
Entry from the Alexandria database: crystalline Pr8GaAg2 at its relaxed geometry (PBE).

Output
energy above the most stable polymorph in this dataset = 0.099 eV/atom
crystal system = monoclinic

```
data_Pr8GaAg2
_cell_length_a 8.960
_cell_length_b 14.679
_cell_length_c 5.577
_cell_angle_alpha 90.00
_cell_angle_beta 109.85
_cell_angle_gamma 90.00
_space_group_name_H-M_alt 'C 1 m 1'
_space_group_IT_number 8
_space_group_name_Hall 'C -2y'
loop_
_atom_site_label
_atom_site_type_symbol
_atom_site_fract_x
_atom_site_fract_y
_atom_site_fract_z
_atom_site_occupancy
Pr1 Pr 0.000 0.000 0.000 1
Pr2 Pr 0.086 0.388 0.778 1
Pr3 Pr 0.188 0.112 0.600 1
Pr4 Pr 0.274 0.500 0.378 1
Pr5 Pr 0.387 0.224 0.189 1
Ga1 Ga 0.387 0.000 0.188 1
Ag1 Ag 0.387 0.309 0.689 1
```

[7]
Entry from the Alexandria database: crystalline Pr4Ga3Ag at its relaxed geometry (PBE).

Output
crystal system = tetragonal

```
data_Pr4Ga3Ag
_cell_length_a 5.258
_cell_length_b 5.258
_cell_length_c 7.607
_cell_angle_alpha 90.00
_cell_angle_beta 90.00
_cell_angle_gamma 90.00
_space_group_name_H-M_alt 'P 4/m m m'
_space_group_IT_number 123
_space_group_name_Hall '-P 4 2'
loop_
_atom_site_label
_atom_site_type_symbol
_atom_site_fract_x
_atom_site_fract_y
_atom_site_fract_z
_atom_site_occupancy
Pr1 Pr 0.000 0.500 0.246 1
Ga1 Ga 0.000 0.000 0.000 1
Ga2 Ga 0.000 0.000 0.500 1
Ga3 Ga 0.500 0.500 0.000 1
Ag1 Ag 0.500 0.500 0.500 1
```

[8]
Entry from the Alexandria database: crystalline Pr2Ga7Ag at its relaxed geometry (PBE).

Output
crystal system = tetragonal

```
data_Pr2Ga7Ag
_cell_length_a 4.365
_cell_length_b 4.365
_cell_length_c 10.724
_cell_angle_alpha 90.00
_cell_angle_beta 90.00
_cell_angle_gamma 90.00
_space_group_name_H-M_alt 'P -4 m 2'
_space_group_IT_number 115
_space_group_name_Hall 'P -4 -2'
loop_
_atom_site_label
_atom_site_type_symbol
_atom_site_fract_x
_atom_site_fract_y
_atom_site_fract_z
_atom_site_occupancy
Pr1 Pr 0.000 0.500 0.248 1
Ga1 Ga 0.000 0.000 0.000 1
Ga2 Ga 0.000 0.500 0.636 1
Ga3 Ga 0.000 0.500 0.866 1
Ga4 Ga 0.500 0.500 0.000 1
Ga5 Ga 0.500 0.500 0.500 1
Ag1 Ag 0.000 0.000 0.500 1
```

no.,ΔH_f (0 K) (eV/atom)
1,-0.22
2,-0.20
3,-0.26
4,-0.56
5,-0.34
6,-0.06
7,-0.47
8,-0.45